# Hf2MnGaN | Alexandria | PBE-GGA | relaxed
# ΔE to the lowest computed polymorph in meV per atom: 0
# Crystal system: tetragonal
# Uncorrected formation energy in eV/atom: -0.72
data_Hf2MnGaN
_symmetry_space_group_name_H-M 'P 4/n m m'
_symmetry_Int_Tables_number 129
_cell_length_a 3.5274
_cell_length_b 3.5274
_cell_length_c 11.6626
_cell_angle_alpha 90.00
_cell_angle_beta 90.00
_cell_angle_gamma 90.00
loop_
_symmetry_equiv_pos_as_xyz
'x,y,z'
'-x,-y,-z'
'-y+1/2,x,z'
'y+1/2,-x,-z'
'-x+1/2,-y+1/2,z'
'x+1/2,y+1/2,-z'
'y,-x+1/2,z'
'-y,x+1/2,-z'
'x+1/2,-y,-z'
'-x+1/2,y,z'
'-y,-x,-z'
'y,x,z'
'-x,y+1/2,-z'
'x,-y+1/2,z'
'y+1/2,x+1/2,-z'
'-y+1/2,-x+1/2,z'
loop_
_atom_site_label
_atom_site_fract_x
_atom_site_fract_y
_atom_site_fract_z
Hf1 0.2500 0.2500 0.0924
Hf2 0.2500 0.2500 0.7254
Mn1 0.2500 0.7500 0.5000
Ga1 0.2500 0.2500 0.3506
N1 0.2500 0.2500 0.9095

# Rb2GaReTc | Alexandria | PBE-GGA | relaxed
# Crystal system: tetragonal
# Formation energy from the elements in eV per atom: 2.014
data_Rb2GaReTc
_symmetry_space_group_name_H-M 'P 4/m m m'
_symmetry_Int_Tables_number 123
_symmetry_space_group_name_Hall '-P 4 2'
_cell_length_a 6.7125
_cell_length_b 6.7125
_cell_length_c 4.8490
_cell_angle_alpha 90.00
_cell_angle_beta 90.00
_cell_angle_gamma 90.00
loop_
_atom_site_label
_atom_site_fract_x
_atom_site_fract_y
_atom_site_fract_z
Rb1 0.0000 0.5000 0.0000
Ga1 0.0000 0.0000 0.5000
Re1 0.0000 0.0000 0.0000
Tc1 0.5000 0.5000 0.5000